Here is a relaxed YTe2Mo crystal from the Alexandria database. Energies are from PBE.

Output
V	97.3	Å³ per cell
total moment	1.39	Bohr magnetons per cell
calculated total energy	-6.09	eV per atom

abc: 6.2594 6.2594 6.2594
angles: 146.32 133.80 58.38
Site moments in Bohr magnetons follow the coordinates.
Sites, in units of the cell vectors:
Mo: 0.2182 0.7182 0.5000  0.99
Te: 0.0322 0.0322 0.0000  0.01
Te: 0.7478 0.2478 0.5000  -0.02
Y: 0.5018 0.5018 0.0000  0.08

Here is a relaxed NiAg2I6 crystal from the Alexandria database. Energies are from PBE.

Output
V	318.3	Å³ per cell
total moment	1.72	Bohr magnetons per cell
calculated total energy	-2.39	eV per atom

abc: 3.9843 7.1429 11.8175
angles: 88.49 80.29 73.81
Site moments in Bohr magnetons follow the coordinates.
Sites, in units of the cell vectors:
Ni: 0.5000 0.5000 0.5000  1.02
Ag: 0.8444 0.4756 0.8357  0.01
Ag: 0.1556 0.5244 0.1643  0.01
I: 0.4202 0.2301 0.9295  0.02
I: 0.5798 0.7699 0.0705  0.02
I: 0.7060 0.3082 0.2798  0.11
I: 0.0879 0.2620 0.5623  0.10
I: 0.2940 0.6918 0.7202  0.11
I: 0.9121 0.7380 0.4377  0.10

Here is a relaxed NaS crystal from the Alexandria database. Energies are from PBE.

Output
V	404.9	Å³ per cell
total moment	0.00	Bohr magnetons per cell
calculated total energy	-3.22	eV per atom

abc: 9.8864 9.8864 4.7835
angles: 90.00 90.00 120.00
Sites, in units of the cell vectors:
Na: 0.7600 0.1921 0.2500
Na: 0.5678 0.7600 0.7500
Na: 0.8079 0.5678 0.2500
Na: 0.2400 0.8079 0.7500
Na: 0.4322 0.2400 0.2500
Na: 0.1921 0.4322 0.7500
S: 0.0189 0.4752 0.2500
S: 0.5437 0.0189 0.7500
S: 0.5248 0.5437 0.2500
S: 0.9811 0.5248 0.7500
S: 0.4563 0.9811 0.2500
S: 0.4752 0.4563 0.7500

Here is a relaxed VAs3Pt crystal from the Alexandria database. Energies are from PBE.

Output
energy of formation from the pure elements	10.22	kcal/mol of atoms
V	100.8	Å³ per cell
total moment	0.00	Bohr magnetons per cell
calculated total energy	-5.38	eV per atom

abc: 4.6538 4.6538 4.6538
angles: 90.00 90.00 90.00
Sites, in units of the cell vectors:
As: 0.0000 0.5000 0.0000
As: 0.0000 0.0000 0.5000
As: 0.5000 0.0000 0.0000
Pt: 0.5000 0.5000 0.5000
V: 0.0000 0.0000 0.0000

| no. | N(E_F) (states/eV per atom) |
| --- | --- |
| 1 | 0.8272 |
| 2 | 0.7355 |
| 3 | 0.5921 |
| 4 | 0.5113 |